TaAl2 (GGA-PBE, optimized geometry); calculated volume = 69.5 Å³/f.u.; mass density = 5.61 g cm⁻³; SG = P4_2/mnm (136); E_tot = -17.8 eV/f.u.
1.0
7.218 0.000 0.000
0.000 7.218 0.000
0.000 0.000 2.668
Ta Al
2 4
direct
0.000 0.000 0.000
0.500 0.500 0.500
0.238 0.238 0.500
0.262 0.738 0.000
0.738 0.262 0.000
0.762 0.762 0.500